Entry 1:
Here is crystalline TiPSe2Br at its relaxed geometry from Alexandria. Energies are from PBE.

The space group is P4/mmm (No. 123) and the conventional cell measures 4.925, 4.925 and 4.812 Å, with angles of 90.00, 90.00 and 90.00 degrees. The asymmetric unit holds Ti at (0.000, 0.000, 0.000), P at (0.500, 0.500, 0.500), Se at (0.000, 0.500, 0.500) and Br at (0.500, 0.500, 0.000).

The uncorrected energy is -3.950 eV per atom. The density of states at the Fermi level is 1.40 states/eV per atom. As for the uncorrected formation energy: 440 meV/atom. As for the energy above the most stable polymorph in this dataset: 331 meV per atom. For the total moment, the calculation gives 0.03 μB per formula unit.


Entry 2:
Here is crystalline TiPSe2Br at its relaxed geometry from Alexandria. Energies are from PBE.

The space group is P4/mmm (No. 123) and the conventional cell measures 4.980, 4.980 and 5.087 Å, with angles of 90.00, 90.00 and 90.00 degrees. The asymmetric unit holds Ti at (0.000, 0.000, 0.000), P at (0.500, 0.500, 0.500), Se at (0.000, 0.500, 0.000) and Br at (0.000, 0.000, 0.500).

The uncorrected energy is -4.280 eV per atom. The density of states at the Fermi level is 0.50 states/eV per atom. As for the uncorrected formation energy: 109 meV/atom. As for the energy above the most stable polymorph in this dataset: 0 meV per atom. For the total moment, the calculation gives 2.16 μB per formula unit.


Entry 3:
Here is crystalline TlPSeBr2 at its relaxed geometry from Alexandria. Energies are from PBE.

The space group is P4/mmm (No. 123) and the conventional cell measures 5.535, 5.535 and 5.667 Å, with angles of 90.00, 90.00 and 90.00 degrees. The asymmetric unit holds Tl at (0.000, 0.000, 0.000), P at (0.500, 0.500, 0.500), Se at (0.000, 0.000, 0.500) and Br at (0.000, 0.500, 0.000).

The uncorrected energy is -2.271 eV per atom. The density of states at the Fermi level is 0.52 states/eV per atom. As for the uncorrected formation energy: 650 meV/atom. As for the energy above the most stable polymorph in this dataset: 823 meV per atom. For the total moment, the calculation gives 1.70 μB per formula unit.


Entry 4:
Here is crystalline Tl5PSe4Br2 at its relaxed geometry from Alexandria. Energies are from PBE.

The space group is Amm2 (No. 38) and the conventional cell measures 9.970, 9.980 and 8.443 Å, with angles of 90.00, 90.00 and 90.00 degrees. The asymmetric unit holds Tl at (0.000, 0.000, 0.000), Tl at (0.263, 0.190, 0.513), P at (0.500, 0.000, 0.947), Se at (0.318, 0.000, 0.103), Se at (0.500, 0.185, 0.799) and Br at (0.000, 0.249, 0.262).

The uncorrected energy is -3.369 eV per atom. As for the uncorrected formation energy: -492 meV/atom. For the total moment, the calculation gives 0.00 μB per formula unit.


Entry 5:
Here is crystalline TlPSeBr2 at its relaxed geometry from Alexandria. Energies are from PBE.

The space group is P4/mmm (No. 123) and the conventional cell measures 5.420, 5.420 and 4.789 Å, with angles of 90.00, 90.00 and 90.00 degrees. The asymmetric unit holds Tl at (0.000, 0.000, 0.000), P at (0.500, 0.500, 0.500), Se at (0.500, 0.500, 0.000) and Br at (0.000, 0.500, 0.500).

The uncorrected energy is -3.094 eV per atom. The density of states at the Fermi level is 0.11 states/eV per atom. As for the uncorrected formation energy: -173 meV/atom. As for the energy above the most stable polymorph in this dataset: 0 meV per atom. For the total moment, the calculation gives 0.00 μB per formula unit.


Entry 6:
Here is crystalline PWSeBr2 at its relaxed geometry from Alexandria. Energies are from PBE.

The space group is P4/mmm (No. 123) and the conventional cell measures 4.891, 4.891 and 5.221 Å, with angles of 90.00, 90.00 and 90.00 degrees. The asymmetric unit holds P at (0.000, 0.000, 0.000), W at (0.500, 0.500, 0.500), Se at (0.000, 0.000, 0.500) and Br at (0.000, 0.500, 0.000).

The uncorrected energy is -3.762 eV per atom. The density of states at the Fermi level is 1.25 states/eV per atom. As for the uncorrected formation energy: 1276 meV/atom. As for the energy above the most stable polymorph in this dataset: 501 meV per atom. For the total moment, the calculation gives 4.21 μB per formula unit.


Entry 7:
Here is crystalline PWSe2Br at its relaxed geometry from Alexandria. Energies are from PBE.

The space group is P4/mmm (No. 123) and the conventional cell measures 4.925, 4.925 and 5.240 Å, with angles of 90.00, 90.00 and 90.00 degrees. The asymmetric unit holds P at (0.000, 0.000, 0.000), W at (0.500, 0.500, 0.500), Se at (0.000, 0.500, 0.500) and Br at (0.500, 0.500, 0.000).

The uncorrected energy is -4.647 eV per atom. The density of states at the Fermi level is 0.90 states/eV per atom. As for the uncorrected formation energy: 754 meV/atom. As for the energy above the most stable polymorph in this dataset: 0 meV per atom. For the total moment, the calculation gives 2.97 μB per formula unit.


Entry 8:
Here is crystalline PWSeBr2 at its relaxed geometry from Alexandria. Energies are from PBE.

The space group is P4/mmm (No. 123) and the conventional cell measures 5.244, 5.244 and 4.885 Å, with angles of 90.00, 90.00 and 90.00 degrees. The asymmetric unit holds P at (0.000, 0.000, 0.000), W at (0.500, 0.500, 0.500), Se at (0.500, 0.500, 0.000) and Br at (0.000, 0.500, 0.500).

The uncorrected energy is -4.264 eV per atom. The density of states at the Fermi level is 0.70 states/eV per atom. As for the uncorrected formation energy: 775 meV/atom. As for the energy above the most stable polymorph in this dataset: 0 meV per atom. For the total moment, the calculation gives 4.11 μB per formula unit.


Entry 9:
Here is crystalline PWSe2Br at its relaxed geometry from Alexandria. Energies are from PBE.

The space group is P4/mmm (No. 123) and the conventional cell measures 4.936, 4.936 and 4.730 Å, with angles of 90.00, 90.00 and 90.00 degrees. The asymmetric unit holds P at (0.000, 0.000, 0.000), W at (0.500, 0.500, 0.500), Se at (0.000, 0.500, 0.000) and Br at (0.000, 0.000, 0.500).

The uncorrected energy is -4.142 eV per atom. The density of states at the Fermi level is 0.93 states/eV per atom. As for the uncorrected formation energy: 1259 meV/atom. As for the energy above the most stable polymorph in this dataset: 505 meV per atom. For the total moment, the calculation gives 3.75 μB per formula unit.


Entry 10:
Here is crystalline YPSeBr2 at its relaxed geometry from Alexandria. Energies are from PBE.

The space group is P4/mmm (No. 123) and the conventional cell measures 4.994, 4.994 and 5.169 Å, with angles of 90.00, 90.00 and 90.00 degrees. The asymmetric unit holds Y at (0.000, 0.000, 0.000), P at (0.500, 0.500, 0.500), Se at (0.500, 0.500, 0.000) and Br at (0.000, 0.500, 0.500).

The uncorrected energy is -3.918 eV per atom. The density of states at the Fermi level is 0.76 states/eV per atom. As for the uncorrected formation energy: -177 meV/atom. As for the energy above the most stable polymorph in this dataset: 223 meV per atom. For the total moment, the calculation gives 0.89 μB per formula unit.


Entry 11:
Here is crystalline YPSeBr2 at its relaxed geometry from Alexandria. Energies are from PBE.

The space group is P4/mmm (No. 123) and the conventional cell measures 5.500, 5.500 and 5.716 Å, with angles of 90.00, 90.00 and 90.00 degrees. The asymmetric unit holds Y at (0.000, 0.000, 0.000), P at (0.500, 0.500, 0.500), Se at (0.000, 0.000, 0.500) and Br at (0.000, 0.500, 0.000).

The uncorrected energy is -4.140 eV per atom. The density of states at the Fermi level is 0.44 states/eV per atom. As for the uncorrected formation energy: -399 meV/atom. As for the energy above the most stable polymorph in this dataset: 0 meV per atom. For the total moment, the calculation gives 2.00 μB per formula unit.


Entry 12:
Here is crystalline ZrPSeBr2 at its relaxed geometry from Alexandria. Energies are from PBE.

The space group is P4/mmm (No. 123) and the conventional cell measures 5.425, 5.425 and 5.193 Å, with angles of 90.00, 90.00 and 90.00 degrees. The asymmetric unit holds Zr at (0.000, 0.000, 0.000), P at (0.500, 0.500, 0.500), Se at (0.000, 0.000, 0.500) and Br at (0.000, 0.500, 0.000).

The uncorrected energy is -4.312 eV per atom. The density of states at the Fermi level is 0.27 states/eV per atom. As for the uncorrected formation energy: -155 meV/atom. As for the energy above the most stable polymorph in this dataset: 0 meV per atom. For the total moment, the calculation gives 2.96 μB per formula unit.


Entry 13:
Here is crystalline ZrPSe2Br at its relaxed geometry from Alexandria. Energies are from PBE.

The space group is P4/mmm (No. 123) and the conventional cell measures 5.242, 5.242 and 5.368 Å, with angles of 90.00, 90.00 and 90.00 degrees. The asymmetric unit holds Zr at (0.000, 0.000, 0.000), P at (0.500, 0.500, 0.500), Se at (0.000, 0.500, 0.000) and Br at (0.000, 0.000, 0.500).

The uncorrected energy is -4.532 eV per atom. The density of states at the Fermi level is 0.56 states/eV per atom. As for the uncorrected formation energy: -12 meV/atom. As for the energy above the most stable polymorph in this dataset: 0 meV per atom. For the total moment, the calculation gives 2.12 μB per formula unit.


Entry 14:
Here is crystalline ZrP2SeBr at its relaxed geometry from Alexandria. Energies are from PBE.

The space group is P4/mmm (No. 123) and the conventional cell measures 5.127, 5.127 and 5.131 Å, with angles of 90.00, 90.00 and 90.00 degrees. The asymmetric unit holds Zr at (0.000, 0.000, 0.000), P at (0.000, 0.500, 0.000), Se at (0.000, 0.000, 0.500) and Br at (0.500, 0.500, 0.500).

The uncorrected energy is -4.667 eV per atom. The density of states at the Fermi level is 1.04 states/eV per atom. As for the uncorrected formation energy: 238 meV/atom. For the total moment, the calculation gives 0.19 μB per formula unit.


Entry 15:
Here is crystalline ZrPSeBr2 at its relaxed geometry from Alexandria. Energies are from PBE.

The space group is P4/mmm (No. 123) and the conventional cell measures 4.918, 4.918 and 5.134 Å, with angles of 90.00, 90.00 and 90.00 degrees. The asymmetric unit holds Zr at (0.000, 0.000, 0.000), P at (0.500, 0.500, 0.500), Se at (0.500, 0.500, 0.000) and Br at (0.000, 0.500, 0.500).

The uncorrected energy is -3.799 eV per atom. The density of states at the Fermi level is 0.96 states/eV per atom. As for the uncorrected formation energy: 359 meV/atom. As for the energy above the most stable polymorph in this dataset: 513 meV per atom. For the total moment, the calculation gives 2.01 μB per formula unit.


Entry 16:
Here is crystalline ZrPSe2Br at its relaxed geometry from Alexandria. Energies are from PBE.

The space group is P4/mmm (No. 123) and the conventional cell measures 4.907, 4.907 and 4.770 Å, with angles of 90.00, 90.00 and 90.00 degrees. The asymmetric unit holds Zr at (0.000, 0.000, 0.000), P at (0.500, 0.500, 0.500), Se at (0.000, 0.500, 0.500) and Br at (0.500, 0.500, 0.000).

The uncorrected energy is -4.276 eV per atom. The density of states at the Fermi level is 0.91 states/eV per atom. As for the uncorrected formation energy: 244 meV/atom. As for the energy above the most stable polymorph in this dataset: 256 meV per atom. For the total moment, the calculation gives 1.19 μB per formula unit.


Entry 17:
Here is crystalline SiPBr at its relaxed geometry from Alexandria. Energies are from PBE.

The space group is Fmm2 (No. 42) and the conventional cell measures 3.389, 6.374 and 14.541 Å, with angles of 90.00, 90.00 and 90.00 degrees. The asymmetric unit holds Si at (0.000, 0.000, 0.000), P at (0.000, 0.000, 0.598) and Br at (0.000, 0.000, 0.361).

The uncorrected energy is -3.800 eV per atom. The density of states at the Fermi level is 0.70 states/eV per atom. As for the uncorrected formation energy: 369 meV/atom. As for the energy above the most stable polymorph in this dataset: 754 meV per atom. For the total moment, the calculation gives 0.00 μB per formula unit.


Entry 18:
Here is crystalline SiP3Br at its relaxed geometry from Alexandria. Energies are from PBE.

The space group is Pm-3m (No. 221) and the conventional cell measures 4.601, 4.601 and 4.601 Å, with angles of 90.00, 90.00 and 90.00 degrees. The asymmetric unit holds Si at (0.000, 0.000, 0.000), P at (0.000, 0.000, 0.500) and Br at (0.500, 0.500, 0.500).

The uncorrected energy is -3.802 eV per atom. The density of states at the Fermi level is 0.68 states/eV per atom. As for the uncorrected formation energy: 863 meV/atom. As for the energy above the most stable polymorph in this dataset: 0 meV per atom. For the total moment, the calculation gives 0.00 μB per formula unit.


Entry 19:
Here is crystalline SiPBr at its relaxed geometry from Alexandria. Energies are from PBE.

The space group is P3m1 (No. 156) and the conventional cell measures 3.5175, 3.5175 and 6.9596 Å, with angles of 90.00, 90.00 and 120.00 degrees. The asymmetric unit holds Si at (0.0000, 0.0000, 0.0000), P at (0.3333, 0.6667, 0.8498) and Br at (0.6667, 0.3333, 0.2735).

The uncorrected energy is -4.270 eV per atom. As for the uncorrected formation energy: -101 meV/atom. As for the energy above the most stable polymorph in this dataset: 284 meV per atom. For the total moment, the calculation gives 0.00 μB per formula unit.


Entry 20:
Here is crystalline SiPBr at its relaxed geometry from Alexandria. Energies are from PBE.

The space group is F-43m (No. 216) and the conventional cell measures 6.346, 6.346 and 6.346 Å, with angles of 90.00, 90.00 and 90.00 degrees. The asymmetric unit holds Si at (0.000, 0.000, 0.000), P at (0.250, 0.250, 0.250) and Br at (0.250, 0.250, 0.750).

The uncorrected energy is -3.516 eV per atom. The density of states at the Fermi level is 0.56 states/eV per atom. As for the uncorrected formation energy: 652 meV/atom. As for the energy above the most stable polymorph in this dataset: 1037 meV per atom. For the total moment, the calculation gives 0.00 μB per formula unit.